Record 1
The following is a PBE-GGA calculation of an optimized crystal structure of Rb3Zr3CuS8, from Alexandria.

Structure (POSCAR):
```
Rb3Zr3CuS8
1.0
6.5585 -3.7894 0.0000
6.5585 3.7894 0.0000
-4.3704 0.0000 7.7563
Rb Zr Cu S
3 3 1 8
direct
0.0000 0.0000 0.0000
0.0000 0.5000 0.0000
0.5000 0.0000 0.0000
0.0000 0.5000 0.5000
0.5000 0.0000 0.5000
0.5000 0.5000 0.5000
0.0000 0.0000 0.5000
0.2289 0.2289 0.6791
0.2298 0.7200 0.6795
0.2701 0.2701 0.3101
0.2800 0.7702 0.3205
0.7200 0.2298 0.6795
0.7299 0.7299 0.6899
0.7702 0.2800 0.3205
0.7711 0.7711 0.3209
```

Properties
N(E_F) (states/eV per atom): 0.36
Space group: C2/m, No. 12
ΔE_f (raw) (eV per atom): -1.281
Total magnetic moment (μB/atom): 0.000
Calculated total energy (eV/cell): -84.9

---

Record 2
The following is a PBE-GGA calculation of an optimized crystal structure of Ac2AlCu4Sn3, from Alexandria.

Structure (POSCAR):
```
Ac2AlCu4Sn3
1.0
4.5319 0.0000 0.0000
0.0000 4.5319 0.0000
0.0000 0.0000 10.7792
Ac Al Cu Sn
2 1 4 3
direct
0.0000 0.5000 0.2461
0.5000 0.0000 0.7539
0.0000 0.0000 0.5000
0.0000 0.0000 0.0000
0.0000 0.5000 0.6263
0.5000 0.0000 0.3737
0.5000 0.5000 0.0000
0.0000 0.5000 0.8720
0.5000 0.0000 0.1280
0.5000 0.5000 0.5000
```

Properties
N(E_F) (states/eV per atom): 0.52
Space group: P-4m2, No. 115
Total magnetic moment (μB/atom): 0.000
Calculated total energy (eV/cell): -44.7
Energy of formation from the pure elements (eV/atom): -0.432

---

Record 3
The following is a PBE-GGA calculation of an optimized crystal structure of YBeAu3, from Alexandria.

Structure (POSCAR):
```
YBeAu3
1.0
5.5133 0.0000 0.0000
0.0000 5.5133 0.0000
0.0000 0.0000 5.5133
Y Be Au
1 1 3
direct
0.0000 0.0000 0.0000
0.5000 0.5000 0.5000
0.0000 0.0000 0.5000
0.0000 0.5000 0.0000
0.5000 0.0000 0.0000
```

Properties
N(E_F) (states/eV per atom): 0.14
Space group: Pm-3m, No. 221
Total magnetic moment (μB/atom): 0.000
Calculated total energy (eV/cell): -15.5
Energy of formation from the pure elements (eV/atom): 0.910
E above lowest polymorph (meV per atom): 1477

---

Record 4
The following is a PBE-GGA calculation of an optimized crystal structure of Na2YPtI, from Alexandria.

Structure (POSCAR):
```
Na2YPtI
1.0
5.3332 0.0000 0.0000
0.0000 5.3332 0.0000
0.0000 0.0000 5.9825
Na Y Pt I
2 1 1 1
direct
0.0000 0.5000 0.0000
0.5000 0.0000 0.0000
0.0000 0.0000 0.5000
0.5000 0.5000 0.5000
0.0000 0.0000 0.0000
```

Properties
N(E_F) (states/eV per atom): 1.01
Space group: P4/mmm, No. 123
ΔE_f (raw) (eV per atom): 0.279
Total magnetic moment (μB/atom): 0.000
Calculated total energy (eV/cell): -15.3

---

Record 5
The following is a PBE-GGA calculation of an optimized crystal structure of MoWI2, from Alexandria.

Structure (POSCAR):
```
MoWI2
1.0
0.0000 3.3767 3.3767
3.3767 0.0000 3.3767
3.3767 3.3767 0.0000
Mo W I
1 1 2
direct
0.0000 0.0000 0.0000
0.5000 0.5000 0.5000
0.2500 0.2500 0.2500
0.7500 0.7500 0.7500
```

Properties
N(E_F) (states/eV per atom): 1.04
Space group: Fm-3m, No. 225
ΔE_f (raw) (eV per atom): 1.378
Total magnetic moment (μB/atom): 0.000
Calculated total energy (eV/cell): -21.4
E above lowest polymorph (meV per atom): 0

---

Record 6
The following is a PBE-GGA calculation of an optimized crystal structure of EuThIr2, from Alexandria.

Structure (POSCAR):
```
EuThIr2
1.0
3.6226 0.0000 0.0000
0.0000 3.6226 0.0000
0.0000 0.0000 6.9451
Eu Th Ir
1 1 2
direct
0.0000 0.0000 0.0000
0.0000 0.0000 0.5000
0.5000 0.5000 0.2802
0.5000 0.5000 0.7198
```

Properties
N(E_F) (states/eV per atom): 2.69
Space group: P4/mmm, No. 123
Total magnetic moment (μB/atom): 1.734
Calculated total energy (eV/cell): -37.9
Energy of formation from the pure elements (eV/atom): -0.609
E above lowest polymorph (meV per atom): 0

---

Record 7
The following is a PBE-GGA calculation of an optimized crystal structure of Li2PuTlCl6, from Alexandria.

Structure (POSCAR):
```
Li2PuTlCl6
1.0
3.4813 2.0099 6.3207
-3.4813 2.0099 6.3207
0.0000 -4.0198 6.3207
Li Pu Tl Cl
2 1 1 6
direct
0.0000 0.0000 0.0000
0.4909 0.4909 0.4909
0.6948 0.6948 0.6948
0.2177 0.2177 0.2177
0.1157 0.4072 0.7535
0.2733 0.8275 0.6916
0.4072 0.7535 0.1157
0.6916 0.2733 0.8275
0.7535 0.1157 0.4072
0.8275 0.6916 0.2733
```

Properties
N(E_F) (states/eV per atom): 1.10
Space group: R3, No. 146
ΔE_f (raw) (eV per atom): -1.660
Total magnetic moment (μB/atom): 0.500
Calculated total energy (eV/cell): -48.2

---

Record 8
The following is a PBE-GGA calculation of an optimized crystal structure of LiZrFe3, from Alexandria.

Structure (POSCAR):
```
LiZrFe3
1.0
4.0697 0.0000 0.0000
0.0000 4.0697 0.0000
0.0000 0.0000 4.0697
Li Zr Fe
1 1 3
direct
0.0000 0.0000 0.0000
0.5000 0.5000 0.5000
0.0000 0.0000 0.5000
0.0000 0.5000 0.0000
0.5000 0.0000 0.0000
```

Properties
N(E_F) (states/eV per atom): 1.29
Space group: Pm-3m, No. 221
Total magnetic moment (μB/atom): 0.993
Calculated total energy (eV/cell): -32.7
Energy of formation from the pure elements (eV/atom): 0.632
E above lowest polymorph (meV per atom): 0